Entry 1:
A plane-wave DFT calculation with GGA-PBE was carried out for crystalline BiSeN at its relaxed geometry.

The structure belongs to space group P-1 (No. 2); the cell edges are 3.824, 4.737 and 11.981 Å and the angles 93.47°, 91.21° and 90.01°. The distinct sites, in fractional coordinates, are Bi at (0.242, 0.231, 0.372), Se at (0.257, 0.267, 0.611) and N at (0.059, 0.088, 0.027).

The density of states at the Fermi level is 2.58 states/eV/cell. The value obtained for the total energy is -31.73 eV for the cell shown. Its crystal system is triclinic. For the volume, the calculation gives 216.6 Å³ per cell.

Entry 2:
A plane-wave DFT calculation with GGA-PBE was carried out for crystalline FeRu6Rh12 at its relaxed geometry.

The structure belongs to space group R-3m (No. 166, hexagonal axes); the cell edges are 10.3448, 10.3448 and 9.0117 Å and the angles 90.00°, 90.00° and 120.00°. The distinct sites, in fractional coordinates, are Fe at (0.0000, 0.0000, 0.0000), Ru at (0.0554, 0.5277, 0.6241), Rh at (0.0000, 0.2489, 0.5000) and Rh at (0.0846, 0.1692, 0.2562).

The formation energy comes out at 0.2205 eV/atom. The density of states at the Fermi level is 75.87 states/eV/cell. Its crystal system is trigonal. For the volume, the calculation gives 835.2 Å³ per cell.

Entry 3:
A plane-wave DFT calculation with GGA-PBE was carried out for crystalline Ba2Al2PbO6 at its relaxed geometry.

The structure belongs to space group R-3m (No. 166, hexagonal axes); the cell edges are 6.0533, 6.0533 and 19.3936 Å and the angles 90.00°, 90.00° and 120.00°. The distinct sites, in fractional coordinates, are Ba at (0.0000, 0.0000, 0.2015), Al at (0.0000, 0.0000, 0.4244), Pb at (0.0000, 0.0000, 0.0000) and O at (0.0068, 0.5034, 0.2397).

The density of states at the Fermi level is 0.00 states/eV/cell. The value obtained for the total energy is -210.21 eV for the cell shown. Its crystal system is trigonal. For the volume, the calculation gives 615.4 Å³ per cell.